Density functional theory data (meta-GGA SCAN) for a PBEsol-optimized structure of TlHgPd2W.

Cell: 4.9368 4.9368 5.0808 Å, 90.00 90.00 90.00°
Atoms (fractional coordinates):
Tl  0.0000  0.0000  0.0000
Hg  0.0000  0.0000  0.5000
Pd  0.0000  0.5000  0.5000
Pd  0.5000  0.0000  0.5000
W  0.5000  0.5000  0.0000

Summary:
Crystal system = tetragonal
Fermi-level density of states = 3.1 states/eV per cell
Energy of formation from the pure elements = 9.34 eV per formula unit